# LiYNiF6

Crystalline LiYNiF6 at its relaxed geometry (PBE with a Hubbard U, Alexandria via LeMat-Bulk).

Geometry as extended XYZ:
```
18
Lattice="5.488 0.000 0.000 -2.744 4.753 0.000 0.000 0.000 8.894" Properties=species:S:1:pos:R:3 pbc="T T T"
Li 0.000 0.000 0.000
Li 0.000 0.000 4.447
Y 0.000 3.169 2.223
Y 2.744 1.584 6.670
Ni 0.000 3.169 6.670
Ni 2.744 1.584 2.223
F -0.825 1.661 5.582
F -1.719 3.208 7.759
F 0.825 1.661 7.759
F -0.893 4.638 5.582
F 1.851 0.116 1.135
F 1.026 1.545 3.312
F 1.719 3.208 5.582
F 0.893 4.638 7.759
F 3.637 0.116 3.312
F 1.919 3.092 1.135
F 4.463 1.545 1.135
F 3.570 3.092 3.312
```

Values from the calculation:
DFT total energy (eV per atom): -5.58
Space group: P-31c (163)
Spin magnetization (μB/cell): 3.83
DOS(E_F) (states/eV/cell): 0.000